Record 1
! meta-GGA SCAN Li4ZnIn2F12, PBEsol geometry; values from VASP
&SYSTEM
  ibrav = 0, nat = 38, ntyp = 4
/
ATOMIC_SPECIES
Li 6.94 Li.upf
Zn 65.41 Zn.upf
In 114.82 In.upf
F 19.00 F.upf
ATOMIC_POSITIONS crystal
Li 0.000 0.000 0.000
Li 0.000 0.000 0.154
Li 0.000 0.000 0.481
Li 0.000 0.500 0.500
Li 0.000 0.500 0.654
Li 0.000 0.500 0.981
Li 0.500 0.000 0.412
Li 0.500 0.500 0.912
Zn 0.500 0.000 0.247
Zn 0.500 0.500 0.747
In 0.000 0.000 0.826
In 0.000 0.500 0.326
In 0.500 0.000 0.586
In 0.500 0.500 0.086
F 0.161 0.234 0.915
F 0.161 0.266 0.415
F 0.162 0.242 0.075
F 0.162 0.258 0.575
F 0.169 0.243 0.243
F 0.169 0.257 0.743
F 0.311 0.709 0.996
F 0.311 0.791 0.496
F 0.326 0.733 0.665
F 0.326 0.767 0.165
F 0.335 0.731 0.830
F 0.335 0.769 0.330
F 0.665 0.231 0.330
F 0.665 0.269 0.830
F 0.674 0.233 0.165
F 0.674 0.267 0.665
F 0.689 0.209 0.496
F 0.689 0.291 0.996
F 0.831 0.743 0.743
F 0.831 0.757 0.243
F 0.838 0.742 0.575
F 0.838 0.758 0.075
F 0.839 0.734 0.415
F 0.839 0.766 0.915
CELL_PARAMETERS angstrom
4.986 0.000 0.000
0.000 4.772 0.000
0.000 0.000 17.772
! Space-group type: Pnc2 (30)
! DOS(E_F) (states/eV/atom): 0.000
! Total DFT energy (no corrections) (eV/cell): -373.40
! Formation energy (no corrections) (eV per atom): -2.862


Record 2
! meta-GGA SCAN MnInF3, PBEsol geometry; values from VASP
&SYSTEM
  ibrav = 0, nat = 5, ntyp = 3
/
ATOMIC_SPECIES
Mn 54.94 Mn.upf
In 114.82 In.upf
F 19.00 F.upf
ATOMIC_POSITIONS crystal
Mn 0.000 0.000 0.000
In 0.500 0.500 0.500
F 0.000 0.000 0.500
F 0.000 0.500 0.000
F 0.500 0.000 0.000
CELL_PARAMETERS angstrom
4.210 0.000 0.000
0.000 4.210 0.000
0.000 0.000 4.210
! Space-group type: Pm-3m (221)
! Total DFT energy (no corrections) (eV/cell): -74.26
! Formation energy (no corrections) (eV per atom): -2.400


Record 3
! meta-GGA SCAN MnInNF2, PBEsol geometry; values from VASP
&SYSTEM
  ibrav = 0, nat = 5, ntyp = 4
/
ATOMIC_SPECIES
Mn 54.94 Mn.upf
In 114.82 In.upf
N 14.01 N.upf
F 19.00 F.upf
ATOMIC_POSITIONS crystal
Mn 0.000 0.000 0.000
In 0.500 0.500 0.500
N 0.000 0.000 0.500
F 0.000 0.500 0.000
F 0.500 0.000 0.000
CELL_PARAMETERS angstrom
4.216 0.000 0.000
0.000 4.216 0.000
0.000 0.000 3.637
! Space-group type: P4/mmm (123)
! DOS(E_F) (states/eV/atom): 0.215
! Total DFT energy (no corrections) (eV/cell): -74.31
! Formation energy (no corrections) (eV per atom): -1.259


Record 4
! meta-GGA SCAN InMo2F, PBEsol geometry; values from VASP
&SYSTEM
  ibrav = 0, nat = 16, ntyp = 3
/
ATOMIC_SPECIES
In 114.82 In.upf
Mo 95.94 Mo.upf
F 19.00 F.upf
ATOMIC_POSITIONS crystal
In 0.000 0.000 0.000
In 0.000 0.500 0.500
In 0.500 0.000 0.500
In 0.500 0.500 0.000
Mo 0.250 0.250 0.250
Mo 0.250 0.250 0.750
Mo 0.250 0.750 0.250
Mo 0.250 0.750 0.750
Mo 0.750 0.250 0.250
Mo 0.750 0.250 0.750
Mo 0.750 0.750 0.250
Mo 0.750 0.750 0.750
F 0.000 0.000 0.500
F 0.000 0.500 0.000
F 0.500 0.000 0.000
F 0.500 0.500 0.500
CELL_PARAMETERS angstrom
6.269 0.000 0.000
0.000 6.269 0.000
0.000 0.000 6.269
! Space-group type: Fm-3m (225)
! DOS(E_F) (states/eV/atom): 0.619
! Total DFT energy (no corrections) (eV/cell): -417.99
! Formation energy (no corrections) (eV per atom): 0.550


Record 5
! meta-GGA SCAN In2N2F, PBEsol geometry; values from VASP
&SYSTEM
  ibrav = 0, nat = 10, ntyp = 3
/
ATOMIC_SPECIES
In 114.82 In.upf
N 14.01 N.upf
F 19.00 F.upf
ATOMIC_POSITIONS crystal
In 0.000 0.000 0.127
In 0.000 0.000 0.873
In 0.500 0.500 0.373
In 0.500 0.500 0.627
N 0.000 0.500 0.250
N 0.000 0.500 0.750
N 0.500 0.000 0.250
N 0.500 0.000 0.750
F 0.000 0.000 0.500
F 0.500 0.500 0.000
CELL_PARAMETERS angstrom
3.576 0.000 0.000
0.000 3.576 0.000
0.000 0.000 10.834
! Space-group type: I4/mmm (139)
! DOS(E_F) (states/eV/atom): 0.484
! Total DFT energy (no corrections) (eV/cell): -175.63
! Formation energy (no corrections) (eV per atom): 0.216


Record 6
! meta-GGA SCAN InNF2, PBEsol geometry; values from VASP
&SYSTEM
  ibrav = 0, nat = 12, ntyp = 3
/
ATOMIC_SPECIES
In 114.82 In.upf
N 14.01 N.upf
F 19.00 F.upf
ATOMIC_POSITIONS crystal
In 0.000 0.000 0.000
In 0.333 0.667 0.667
In 0.667 0.333 0.333
N 0.000 0.000 0.500
N 0.333 0.667 0.167
N 0.667 0.333 0.833
F 0.000 0.000 0.413
F 0.000 0.000 0.587
F 0.333 0.667 0.080
F 0.333 0.667 0.254
F 0.667 0.333 0.746
F 0.667 0.333 0.920
CELL_PARAMETERS angstrom
3.647 0.000 0.000
-1.824 3.158 0.000
0.000 0.000 20.149
! Space-group type: R-3m (166)
! Total DFT energy (no corrections) (eV/cell): -148.90
! Formation energy (no corrections) (eV per atom): 0.031


Record 7
! meta-GGA SCAN InPbN2F, PBEsol geometry; values from VASP
&SYSTEM
  ibrav = 0, nat = 5, ntyp = 4
/
ATOMIC_SPECIES
In 114.82 In.upf
Pb 207.20 Pb.upf
N 14.01 N.upf
F 19.00 F.upf
ATOMIC_POSITIONS crystal
In 0.000 0.000 0.000
Pb 0.500 0.500 0.500
N 0.000 0.500 0.000
N 0.500 0.000 0.000
F 0.000 0.000 0.500
CELL_PARAMETERS angstrom
4.246 0.000 0.000
0.000 4.246 0.000
0.000 0.000 4.260
! Space-group type: P4/mmm (123)
! DOS(E_F) (states/eV/atom): 0.258
! Total DFT energy (no corrections) (eV/cell): -130.50
! Formation energy (no corrections) (eV per atom): 0.159


Record 8
! meta-GGA SCAN InPtN2F, PBEsol geometry; values from VASP
&SYSTEM
  ibrav = 0, nat = 5, ntyp = 4
/
ATOMIC_SPECIES
In 114.82 In.upf
Pt 195.08 Pt.upf
N 14.01 N.upf
F 19.00 F.upf
ATOMIC_POSITIONS crystal
In 0.000 0.000 0.000
Pt 0.500 0.500 0.500
N 0.000 0.500 0.000
N 0.500 0.000 0.000
F 0.000 0.000 0.500
CELL_PARAMETERS angstrom
4.174 0.000 0.000
0.000 4.174 0.000
0.000 0.000 3.960
! Space-group type: P4/mmm (123)
! DOS(E_F) (states/eV/atom): 0.670
! Total DFT energy (no corrections) (eV/cell): -119.64
! Formation energy (no corrections) (eV per atom): 1.213


Record 9
! meta-GGA SCAN InS2NF, PBEsol geometry; values from VASP
&SYSTEM
  ibrav = 0, nat = 5, ntyp = 4
/
ATOMIC_SPECIES
In 114.82 In.upf
S 32.06 S.upf
N 14.01 N.upf
F 19.00 F.upf
ATOMIC_POSITIONS crystal
In 0.000 0.000 0.000
S 0.000 0.500 0.500
S 0.500 0.000 0.500
N 0.500 0.500 0.000
F 0.500 0.500 0.500
CELL_PARAMETERS angstrom
4.190 0.000 0.000
0.000 4.190 0.000
0.000 0.000 4.765
! Space-group type: P4/mmm (123)
! DOS(E_F) (states/eV/atom): 0.299
! Total DFT energy (no corrections) (eV/cell): -59.87
! Formation energy (no corrections) (eV per atom): 1.121


Record 10
! meta-GGA SCAN InSeNF2, PBEsol geometry; values from VASP
&SYSTEM
  ibrav = 0, nat = 5, ntyp = 4
/
ATOMIC_SPECIES
In 114.82 In.upf
Se 78.96 Se.upf
N 14.01 N.upf
F 19.00 F.upf
ATOMIC_POSITIONS crystal
In 0.000 0.000 0.000
Se 0.500 0.500 0.500
N 0.000 0.000 0.500
F 0.000 0.500 0.000
F 0.500 0.000 0.000
CELL_PARAMETERS angstrom
4.085 0.000 0.000
0.000 4.085 0.000
0.000 0.000 4.446
! Space-group type: P4/mmm (123)
! DOS(E_F) (states/eV/atom): 0.445
! Total DFT energy (no corrections) (eV/cell): -72.03
! Formation energy (no corrections) (eV per atom): -0.439


Record 11
! meta-GGA SCAN InSeNF2, PBEsol geometry; values from VASP
&SYSTEM
  ibrav = 0, nat = 5, ntyp = 4
/
ATOMIC_SPECIES
In 114.82 In.upf
Se 78.96 Se.upf
N 14.01 N.upf
F 19.00 F.upf
ATOMIC_POSITIONS crystal
In 0.000 0.000 0.000
Se 0.500 0.500 0.500
N 0.500 0.500 0.000
F 0.000 0.500 0.500
F 0.500 0.000 0.500
CELL_PARAMETERS angstrom
4.596 0.000 0.000
0.000 4.596 0.000
0.000 0.000 3.682
! Space-group type: P4/mmm (123)
! DOS(E_F) (states/eV/atom): 0.148
! Total DFT energy (no corrections) (eV/cell): -71.62
! Formation energy (no corrections) (eV per atom): -0.356


Record 12
! meta-GGA SCAN TaInNF2, PBEsol geometry; values from VASP
&SYSTEM
  ibrav = 0, nat = 5, ntyp = 4
/
ATOMIC_SPECIES
Ta 180.95 Ta.upf
In 114.82 In.upf
N 14.01 N.upf
F 19.00 F.upf
ATOMIC_POSITIONS crystal
Ta 0.000 0.000 0.000
In 0.500 0.500 0.500
N 0.000 0.000 0.500
F 0.000 0.500 0.000
F 0.500 0.000 0.000
CELL_PARAMETERS angstrom
4.231 0.000 0.000
0.000 4.231 0.000
0.000 0.000 4.015
! Space-group type: P4/mmm (123)
! DOS(E_F) (states/eV/atom): 0.208
! Total DFT energy (no corrections) (eV/cell): -123.43
! Formation energy (no corrections) (eV per atom): -1.418